First-principles (PBE) data for a relaxed structure of Sm2Dy3Tm3, as listed in Alexandria.

Cell and atoms, written as CIF:
```
data_Sm2Dy3Tm3
_space_group_name_H-M_alt 'R 3 2'
_space_group_IT_number 155
_space_group_name_Hall 'R 3 2"'
_cell_length_a 8.6176
_cell_length_b 8.6176
_cell_length_c 12.0310
_cell_angle_alpha 90.00
_cell_angle_beta 90.00
_cell_angle_gamma 120.00
loop_
_atom_site_label
_atom_site_type_symbol
_atom_site_fract_x
_atom_site_fract_y
_atom_site_fract_z
Sm1 Sm 0.0000 0.0000 0.2380
Dy1 Dy 0.0000 0.7641 0.0000
Tm1 Tm 0.0000 0.2329 0.5000
```

Polymorph energy (0 for the lowest one)   1.686 eV per formula unit
Electronic total energy   -4.349 eV/atom
DOS at the Fermi energy   17.26 states/eV/f.u.
Energy of formation from the pure elements   0.234 eV per atom